1.
# LaVCd2

An optimized crystal structure of LaVCd2 (PBE, the Alexandria database).

Distance to the lowest polymorph of the same formula = 279 meV/atom
Energy of formation from the pure elements = 1.6 eV per formula unit
Uncorrected energy = -3.563 eV/atom
Space group = I-42d (122)

POSCAR file:
```
LaVCd2
1.0
-2.2517 2.2517 10.6515
2.2517 -2.2517 10.6515
2.2517 2.2517 -10.6515
La V Cd
2 2 4
direct
0.0000 0.0000 0.0000 La
0.7500 0.2500 0.5000 La
0.2500 0.7500 0.5000 V
0.5000 0.5000 0.0000 V
0.1854 0.6250 0.0604 Cd
0.3750 0.4354 0.5604 Cd
0.5646 0.1250 0.9396 Cd
0.8750 0.8146 0.4396 Cd
```

=====

2.
# La3VCd

An optimized crystal structure of La3VCd (PBE, the Alexandria database).

Energy of formation from the pure elements = 1.2 eV per formula unit
Uncorrected energy = -4.717 eV/atom
Space group = Pm-3m (221)

POSCAR file:
```
La3VCd
1.0
5.4259 0.0000 0.0000
0.0000 5.4259 0.0000
0.0000 0.0000 5.4259
La V Cd
3 1 1
direct
0.0000 0.0000 0.5000 La
0.0000 0.5000 0.0000 La
0.5000 0.0000 0.0000 La
0.0000 0.0000 0.0000 V
0.5000 0.5000 0.5000 Cd
```

=====

3.
# LaVCd3

An optimized crystal structure of LaVCd3 (PBE, the Alexandria database).

Distance to the lowest polymorph of the same formula = 1052 meV/atom
Energy of formation from the pure elements = 6.7 eV per formula unit
Uncorrected energy = -2.015 eV/atom
Space group = Pm-3m (221)

POSCAR file:
```
LaVCd3
1.0
5.9450 0.0000 0.0000
0.0000 5.9450 0.0000
0.0000 0.0000 5.9450
La V Cd
1 1 3
direct
0.0000 0.0000 0.0000 La
0.5000 0.5000 0.5000 V
0.0000 0.0000 0.5000 Cd
0.0000 0.5000 0.0000 Cd
0.5000 0.0000 0.0000 Cd
```

=====

4.
# LaVZnCd2

An optimized crystal structure of LaVZnCd2 (PBE, the Alexandria database).

Energy of formation from the pure elements = 1.4 eV per formula unit
Uncorrected energy = -3.154 eV/atom
Space group = P4/mmm (123)

POSCAR file:
```
LaVZnCd2
1.0
5.1548 0.0000 0.0000
0.0000 5.1548 0.0000
0.0000 0.0000 4.8956
La V Zn Cd
1 1 1 2
direct
0.0000 0.0000 0.0000 La
0.5000 0.5000 0.5000 V
0.5000 0.5000 0.0000 Zn
0.0000 0.5000 0.5000 Cd
0.5000 0.0000 0.5000 Cd
```

=====

5.
# LaZr2VCd

An optimized crystal structure of LaZr2VCd (PBE, the Alexandria database).

Energy of formation from the pure elements = 5.5 eV per formula unit
Uncorrected energy = -5.306 eV/atom
Space group = P4/mmm (123)

POSCAR file:
```
LaZr2VCd
1.0
5.3508 0.0000 0.0000
0.0000 5.3508 0.0000
0.0000 0.0000 4.9499
La Zr V Cd
1 2 1 1
direct
0.0000 0.0000 0.0000 La
0.0000 0.5000 0.5000 Zr
0.5000 0.0000 0.5000 Zr
0.5000 0.5000 0.0000 V
0.5000 0.5000 0.5000 Cd
```

=====

6.
# LaCd2W

An optimized crystal structure of LaCd2W (PBE, the Alexandria database).

Distance to the lowest polymorph of the same formula = 247 meV/atom
Energy of formation from the pure elements = 2.5 eV per formula unit
Uncorrected energy = -4.297 eV/atom
Space group = I-4m2 (119)

POSCAR file:
```
LaCd2W
1.0
-2.2792 2.2792 4.4942
2.2792 -2.2792 4.4942
2.2792 2.2792 -4.4942
La Cd W
1 2 1
direct
0.0000 0.0000 0.0000 La
0.5000 0.5000 0.0000 Cd
0.7500 0.2500 0.5000 Cd
0.2500 0.7500 0.5000 W
```